Entry 1:
This record from the Alexandria database describes an optimized crystal structure of CsLi3La. The functional is PBE.

Output
**Calculated density**: 3.12 Mg/m³
**E**: -1.482 eV/atom
**Energy relative to the lowest polymorph listed for this composition**: 81 meV per atom
**Formation enthalpy at 0 K**: 0.823 eV per atom

abc: 5.3776 5.3776 5.3776
angles: 90.00 90.00 90.00
With the nearest neighbours (Å) after each atom.
Fractional positions:
Cs: 0.0000 0.0000 0.0000  6 Li 2.69
Li: 0.0000 0.0000 0.5000  2 Cs 2.69
Li: 0.0000 0.5000 0.0000  2 Cs 2.69
Li: 0.5000 0.0000 0.0000  2 Cs 2.69
La: 0.5000 0.5000 0.5000  12 Li 3.80

***

Entry 2:
This record from the Alexandria database describes an optimized crystal structure of CsLi3La. The functional is PBE.

Output
**Calculated density**: 1.88 Mg/m³
**E**: -1.563 eV/atom
**Energy relative to the lowest polymorph listed for this composition**: 0 meV per atom
**Formation enthalpy at 0 K**: 0.742 eV per atom

abc: 6.3690 6.3690 6.3690
angles: 90.00 90.00 90.00
With the nearest neighbours (Å) after each atom.
Fractional positions:
Cs: 0.0000 0.0000 0.0000  12 Li 4.50
Li: 0.0000 0.5000 0.5000  2 La 3.18
Li: 0.5000 0.0000 0.5000  2 La 3.18
Li: 0.5000 0.5000 0.0000  2 La 3.18
La: 0.5000 0.5000 0.5000  6 Li 3.18

***

Entry 3:
This record from the Alexandria database describes an optimized crystal structure of CsLiLa2O. The functional is PBE.

Output
**Calculated density**: 4.19 Mg/m³
**E**: -2.829 eV/atom
**Energy relative to the elements, uncorrected**: 331 kJ/mol of formula units

abc: 5.2550 5.2550 6.2189
angles: 90.00 90.00 90.00
With the nearest neighbours (Å) after each atom.
Fractional positions:
Cs: 0.0000 0.0000 0.0000  2 Li 3.11
Li: 0.0000 0.0000 0.5000  4 La 2.63
La: 0.0000 0.5000 0.5000  2 Li 2.63
La: 0.5000 0.0000 0.5000  2 Li 2.63
O: 0.5000 0.5000 0.0000  4 Cs 3.72, 8 La 4.07

***

Entry 4:
This record from the Alexandria database describes an optimized crystal structure of CsLiLa2O4. The functional is PBE.

Output
**Calculated density**: 5.54 Mg/m³
**E**: -6.780 eV/atom
**Energy relative to the elements, uncorrected**: -2102 kJ/mol of formula units

abc: 6.5957 6.5957 12.1891
angles: 90.00 90.00 146.98
With the nearest neighbours (Å) after each atom.
Fractional positions:
Cs: 0.0983 0.9017 0.7500  8 O 3.24-3.29, 3 Li 3.33-3.57
Cs: 0.9017 0.0983 0.2500  8 O 3.24-3.29, 3 Li 3.33-3.57
Li: 0.1842 0.8158 0.2500  4 O 2.00-2.09
Li: 0.8158 0.1842 0.7500  4 O 2.00-2.09
La: 0.3661 0.6339 0.5570  6 O 2.37-2.62
La: 0.3661 0.6339 0.9430  6 O 2.37-2.62
La: 0.6339 0.3661 0.0570  6 O 2.37-2.62
La: 0.6339 0.3661 0.4430  6 O 2.37-2.62
O: 0.0000 0.0000 0.0000  4 La 2.62
O: 0.0000 0.0000 0.5000  4 La 2.62
O: 0.2461 0.7539 0.0989  1 Li 2.00
O: 0.2461 0.7539 0.4011  1 Li 2.00
O: 0.3889 0.6111 0.7500  2 Li 2.09
O: 0.6111 0.3889 0.2500  2 Li 2.09
O: 0.7539 0.2461 0.5989  1 Li 2.00
O: 0.7539 0.2461 0.9011  1 Li 2.00

***

Entry 5:
This record from the Alexandria database describes an optimized crystal structure of CsLi2LaP. The functional is PBE.

Output
**Calculated density**: 2.29 Mg/m³
**E**: -2.748 eV/atom
**Formation enthalpy at 0 K**: 0.256 eV per atom

abc: 6.4641 6.4641 5.4938
angles: 90.00 90.00 90.00
With the nearest neighbours (Å) after each atom.
Fractional positions:
Cs: 0.0000 0.0000 0.0000  8 Li 4.24, 4 P 4.57
Li: 0.0000 0.5000 0.5000  2 La 3.23
Li: 0.5000 0.0000 0.5000  2 La 3.23
La: 0.5000 0.5000 0.5000  2 P 2.75
P: 0.5000 0.5000 0.0000  2 La 2.75

***

Entry 6:
This record from the Alexandria database describes an optimized crystal structure of Cs2LiLaS. The functional is PBE.

Output
**Calculated density**: 3.29 Mg/m³
**E**: -2.607 eV/atom
**Energy relative to the elements, uncorrected**: -35 kJ/mol of formula units

abc: 7.0992 7.0992 4.4395
angles: 90.00 90.00 90.00
With the nearest neighbours (Å) after each atom.
Fractional positions:
Cs: 0.0000 0.5000 0.0000  2 S 3.55
Cs: 0.5000 0.0000 0.0000  2 S 3.55
Li: 0.0000 0.0000 0.5000  2 S 2.22
La: 0.5000 0.5000 0.5000  8 Cs 4.19, 2 La 4.44
S: 0.0000 0.0000 0.0000  2 Li 2.22

***

Entry 7:
This record from the Alexandria database describes an optimized crystal structure of CsLi2LaSb. The functional is PBE.

Output
**Calculated density**: 2.67 Mg/m³
**E**: -2.509 eV/atom
**Energy relative to the elements, uncorrected**: 114 kJ/mol of formula units

abc: 6.4435 6.4435 6.0983
angles: 90.00 90.00 90.00
With the nearest neighbours (Å) after each atom.
Fractional positions:
Cs: 0.0000 0.0000 0.0000  8 Li 4.44, 4 Sb 4.56
Li: 0.0000 0.5000 0.5000  2 La 3.22
Li: 0.5000 0.0000 0.5000  2 La 3.22
La: 0.5000 0.5000 0.5000  2 Sb 3.05, 4 Li 3.22
Sb: 0.5000 0.5000 0.0000  2 La 3.05

***

Entry 8:
This record from the Alexandria database describes an optimized crystal structure of CsLiLaSe2. The functional is PBE.

Output
**Calculated density**: 3.96 Mg/m³
**E**: -4.139 eV/atom
**Energy relative to the elements, uncorrected**: -582 kJ/mol of formula units

abc: 8.6123 8.6123 6.8497
angles: 90.00 90.00 133.85
With the nearest neighbours (Å) after each atom.
Fractional positions:
Cs: 0.2500 0.7500 0.7754  8 Se 3.92-4.23, 2 Li 4.25
Cs: 0.7500 0.2500 0.2246  8 Se 3.92-4.23, 2 Li 4.25
Li: 0.0000 0.0000 0.0000  2 Se 2.44
Li: 0.5000 0.5000 0.0000  2 Se 2.44
La: 0.2500 0.2500 0.5000  4 Se 2.98
La: 0.7500 0.7500 0.5000  4 Se 2.98
Se: 0.1104 0.8896 0.2484  1 Li 2.44
Se: 0.3896 0.6104 0.2484  1 Li 2.44
Se: 0.6104 0.3896 0.7516  1 Li 2.44
Se: 0.8896 0.1104 0.7516  1 Li 2.44